(1)
This record from Alexandria describes crystalline FeSiNiRh at its relaxed geometry. The functional is PBE.

a = 5.7640 Å, b = 5.7640 Å, c = 5.7640 Å
α = 90.00°, β = 90.00°, γ = 90.00°
Last column: nearest neighbours and their distance in Å.
Space group F-43m (No. 216)
One atom of each set of equivalent atoms:
Fe 0.0000 0.0000 0.0000 [4 per cell]  4 Ni 2.50, 4 Si 2.50
Si 0.2500 0.2500 0.7500 [4 per cell]  4 Fe 2.50, 4 Rh 2.50
Ni 0.2500 0.2500 0.2500 [4 per cell]  4 Fe 2.50, 4 Rh 2.50
Rh 0.0000 0.0000 0.5000 [4 per cell]  4 Ni 2.50, 4 Si 2.50

Computed properties:
- raw formation energy (eV/atom) = -0.345
- E (Ha/atom) = -0.261

(2)
This record from Alexandria describes crystalline Re2Tc2B at its relaxed geometry. The functional is PBE.

a = 6.9377 Å, b = 6.9415 Å, c = 5.4738 Å
α = 90.00°, β = 90.00°, γ = 90.00°
Last column: nearest neighbours and their distance in Å.
Space group Ccc2 (No. 37)
One atom of each set of equivalent atoms:
Re 0.2055 0.0411 0.0000 [8 per cell]  2 B 2.22-2.39
Tc 0.0428 0.2934 0.6868 [8 per cell]  2 B 2.22-2.39
B 0.2500 0.2500 0.3416 [4 per cell]  4 Re 2.22-2.39, 4 Tc 2.22-2.39

Computed properties:
- DFT formation energy (meV/atom) = -66
- polymorph energy (0 for the lowest one) (meV per atom) = 0
- E (Ha/atom) = -0.387

(3)
This record from Alexandria describes crystalline PaReS at its relaxed geometry. The functional is PBE.

a = 3.2328 Å, b = 3.2328 Å, c = 10.2492 Å
α = 90.00°, β = 90.00°, γ = 90.00°
Last column: nearest neighbours and their distance in Å.
Space group I4mm (No. 107)
One atom of each set of equivalent atoms:
Pa 0.0000 0.0000 0.0000 [2 per cell]  5 Re 2.96-3.24, 5 S 2.99-3.20, 4 Pa 3.23
Re 0.0000 0.0000 0.6836 [2 per cell]  4 S 2.64
S 0.0000 0.0000 0.3125 [2 per cell]  4 Re 2.64

Computed properties:
- raw formation energy (eV/atom) = -0.087
- polymorph energy (0 for the lowest one) (meV per atom) = 443
- E (Ha/atom) = -0.323

(4)
This record from Alexandria describes crystalline ScTl at its relaxed geometry. The functional is PBE.

a = 8.9298 Å, b = 8.9298 Å, c = 8.9298 Å
α = 90.00°, β = 90.00°, γ = 90.00°
Last column: nearest neighbours and their distance in Å.
Space group I-43m (No. 217)
One atom of each set of equivalent atoms:
Sc 0.1895 0.1895 0.1895 [8 per cell]  4 Tl 2.79-2.95
Tl 0.1299 0.1299 0.8701 [8 per cell]  4 Sc 2.79-2.95

Computed properties:
- DFT formation energy (meV/atom) = 745
- E (Ha/atom) = -0.132

(5)
This record from Alexandria describes crystalline Ta3CrPt at its relaxed geometry. The functional is PBE.

a = 4.5342 Å, b = 4.5342 Å, c = 4.5342 Å
α = 90.00°, β = 90.00°, γ = 90.00°
Last column: nearest neighbours and their distance in Å.
Space group Pm-3m (No. 221)
One atom of each set of equivalent atoms:
Ta 0.0000 0.0000 0.5000 [3 per cell]  2 Cr 2.27
Cr 0.0000 0.0000 0.0000 [1 per cell]  6 Ta 2.27
Pt 0.5000 0.5000 0.5000 [1 per cell]  12 Ta 3.21

Computed properties:
- DFT formation energy (meV/atom) = 855
- polymorph energy (0 for the lowest one) (meV per atom) = 0
- E (Ha/atom) = -0.345

(6)
This record from Alexandria describes crystalline TbPaH2 at its relaxed geometry. The functional is PBE.

a = 3.4271 Å, b = 3.4271 Å, c = 17.5191 Å
α = 90.00°, β = 90.00°, γ = 120.00°
Last column: nearest neighbours and their distance in Å.
Space group R-3m (No. 166, hexagonal axes)
One atom of each set of equivalent atoms:
Tb 0.0000 0.0000 0.0000 [3 per cell]  6 H 2.48
Pa 0.0000 0.0000 0.5000 [3 per cell]  6 H 2.44
H 0.0000 0.0000 0.2482 [6 per cell]  3 Pa 2.44, 3 Tb 2.48

Computed properties:
- E (Ha/atom) = -0.200

(7)
This record from Alexandria describes crystalline Sr2RuBr at its relaxed geometry. The functional is PBE.

a = 7.6431 Å, b = 7.6431 Å, c = 7.6431 Å
α = 90.00°, β = 90.00°, γ = 90.00°
Last column: nearest neighbours and their distance in Å.
Space group Fm-3m (No. 225)
One atom of each set of equivalent atoms:
Sr 0.2500 0.2500 0.2500 [8 per cell]  4 Br 3.31, 4 Ru 3.31
Ru 0.0000 0.0000 0.0000 [4 per cell]  8 Sr 3.31
Br 0.0000 0.0000 0.5000 [4 per cell]  8 Sr 3.31

Computed properties:
- raw formation energy (eV/atom) = -0.130
- polymorph energy (0 for the lowest one) (meV per atom) = 303
- E (Ha/atom) = -0.136

(8)
This record from Alexandria describes crystalline TcAg2Hg at its relaxed geometry. The functional is PBE.

a = 2.7693 Å, b = 4.9587 Å, c = 5.2134 Å
α = 90.00°, β = 92.41°, γ = 90.00°
Last column: nearest neighbours and their distance in Å.
Space group P2/m (No. 10)
One atom of each set of equivalent atoms:
Tc 0.0000 0.0000 0.0000 [1 per cell]  2 Tc 2.77, 4 Ag 2.89, 4 Hg 2.90-3.00
Ag 0.2735 0.5000 0.7605 [2 per cell]  6 Ag 2.75-3.05, 2 Tc 2.89, 2 Hg 2.91
Hg 0.5000 0.0000 0.5000 [1 per cell]  2 Hg 2.77, 4 Tc 2.90-3.00, 4 Ag 2.91

Computed properties:
- DFT formation energy (meV/atom) = 527
- E (Ha/atom) = -0.131

(9)
This record from Alexandria describes crystalline MoAsCl at its relaxed geometry. The functional is PBE.

a = 3.0681 Å, b = 3.0681 Å, c = 13.0496 Å
α = 90.00°, β = 90.00°, γ = 90.00°
Last column: nearest neighbours and their distance in Å.
Space group I4mm (No. 107)
One atom of each set of equivalent atoms:
Mo 0.0000 0.0000 0.0000 [2 per cell]  4 As 2.64, 4 Cl 2.69
As 0.0000 0.0000 0.6157 [2 per cell]  4 Mo 2.64
Cl 0.0000 0.0000 0.3777 [2 per cell]  4 Mo 2.69

Computed properties:
- raw formation energy (eV/atom) = -0.091
- polymorph energy (0 for the lowest one) (meV per atom) = 126
- E (Ha/atom) = -0.216

(10)
This record from Alexandria describes crystalline ScZn2Cu at its relaxed geometry. The functional is PBE.

a = 5.5033 Å, b = 8.8282 Å, c = 2.7822 Å
α = 90.00°, β = 103.67°, γ = 90.00°
Last column: nearest neighbours and their distance in Å.
Space group C2/m (No. 12)
One atom of each set of equivalent atoms:
Sc 0.0000 0.0000 0.0000 [2 per cell]  2 Cu 2.75, 2 Sc 2.78, 4 Zn 2.79
Zn 0.2500 0.2500 0.5000 [4 per cell]  4 Zn 2.75-2.78, 2 Sc 2.79, 2 Cu 2.79
Cu 0.0000 0.5000 0.0000 [2 per cell]  2 Sc 2.75, 2 Cu 2.78, 4 Zn 2.79

Computed properties:
- DFT formation energy (meV/atom) = -18
- E (Ha/atom) = -0.120

(11)
This record from Alexandria describes crystalline CuOsW3 at its relaxed geometry. The functional is PBE.

a = 4.7405 Å, b = 4.7405 Å, c = 4.7405 Å
α = 90.00°, β = 90.00°, γ = 90.00°
Last column: nearest neighbours and their distance in Å.
Space group Pm-3m (No. 221)
One atom of each set of equivalent atoms:
Cu 0.0000 0.0000 0.0000 [1 per cell]  12 W 3.35
Os 0.5000 0.5000 0.5000 [1 per cell]  6 W 2.37
W 0.0000 0.5000 0.5000 [3 per cell]  2 Os 2.37

Computed properties:
- DFT formation energy (meV/atom) = 2123
- polymorph energy (0 for the lowest one) (meV per atom) = 149
- E (Ha/atom) = -0.320

(12)
This record from Alexandria describes crystalline Sm2PaP3 at its relaxed geometry. The functional is PBE.

a = 4.0573 Å, b = 5.7141 Å, c = 12.1630 Å
α = 90.00°, β = 90.00°, γ = 90.00°
Last column: nearest neighbours and their distance in Å.
Space group Immm (No. 71)
One atom of each set of equivalent atoms:
Sm 0.0000 0.0000 0.1685 [4 per cell]  6 P 2.86-2.93
Pa 0.0000 0.0000 0.5000 [2 per cell]  6 P 2.79-2.86
P 0.0000 0.5000 0.1581 [4 per cell]  2 Pa 2.79, 4 Sm 2.86-2.93
P 0.0000 0.5000 0.5000 [2 per cell]  2 Pa 2.86, 4 Sm 2.88

Computed properties:
- DFT formation energy (meV/atom) = -1494
- polymorph energy (0 for the lowest one) (meV per atom) = 5
- E (Ha/atom) = -0.270